1.
## UPaNbC3 (PBE-GGA)

Data for UPaNbC3 after structural relaxation.

Results
* formation energy from the elements: 0.00 eV per atom

Geometry as extended XYZ:
```
12
Lattice="6.970 0.000 0.000 0.000 3.315 0.000 -0.968 0.000 8.090" Properties=species:S:1:pos:R:3 pbc="T T T"
U 0.457 0.829 2.833
U 5.545 2.486 5.258
Pa 2.251 2.486 5.532
Pa 3.752 0.829 2.558
Nb 0.188 0.829 7.646
Nb 5.814 2.486 0.445
C 0.940 2.486 0.904
C 0.483 0.829 5.330
C 2.077 2.486 3.284
C 3.925 0.829 4.806
C 5.520 2.486 2.760
C 5.062 0.829 7.186
```

=====

2.
## Be2Ag2TeO6 (PBE-GGA)

Data for Be2Ag2TeO6 after structural relaxation.

Results
* uncorrected formation energy: -1254 meV per atom

Geometry as extended XYZ:
```
11
Lattice="5.144 0.000 0.000 -2.572 4.455 0.000 0.000 0.000 5.950" Properties=species:S:1:pos:R:3 pbc="T T T"
Be 0.000 2.970 2.045
Be 2.572 1.485 3.906
Ag 0.000 2.970 5.298
Ag 2.572 1.485 0.652
Te 0.000 0.000 2.975
O -1.522 3.242 1.858
O 0.525 1.516 1.858
O 1.576 0.303 4.092
O 0.996 4.152 1.858
O 2.047 2.939 4.092
O 4.094 1.213 4.092
```

=====

3.
## MgSc6Te8 (PBE-GGA)

Data for MgSc6Te8 after structural relaxation.

Results
* uncorrected formation energy: -1116 meV per atom

Geometry as extended XYZ:
```
15
Lattice="0.000 5.878 5.878 5.878 0.000 5.878 5.878 5.878 0.000" Properties=species:S:1:pos:R:3 pbc="T T T"
Mg 0.000 0.000 0.000
Sc 2.939 2.939 0.000
Sc 2.939 0.000 2.939
Sc 5.878 2.939 2.939
Sc 0.000 2.939 2.939
Sc 2.939 5.878 2.939
Sc 2.939 2.939 5.878
Te 2.939 2.939 2.939
Te 5.878 5.878 2.966
Te 5.878 2.966 5.878
Te 8.791 5.878 5.878
Te 2.966 5.878 5.878
Te 5.878 8.791 5.878
Te 5.878 5.878 8.791
Te 8.818 8.818 8.818
```

=====

4.
## Sc5BeAl (PBE-GGA)

Data for Sc5BeAl after structural relaxation.

Results
* formation energy from the elements: 0.06 eV per atom

Geometry as extended XYZ:
```
14
Lattice="5.071 -3.016 0.000 5.071 3.016 0.000 -2.690 0.000 9.919" Properties=species:S:1:pos:R:3 pbc="T T T"
Sc 3.053 2.592 7.439
Sc 0.568 0.938 6.397
Sc 1.182 0.849 9.423
Sc 1.913 -0.938 1.437
Sc 4.924 0.849 5.455
Sc 2.527 -0.849 4.464
Sc 5.538 0.938 8.482
Sc 6.269 -0.849 0.496
Sc 6.883 -0.938 3.522
Sc 4.398 -2.592 2.480
Be 0.000 0.000 0.000
Be -1.345 0.000 4.960
Al 4.398 0.471 2.480
Al 3.053 -0.471 7.439
```

=====

5.
## Li2Sm3Au6 (PBE-GGA)

Data for Li2Sm3Au6 after structural relaxation.

Results
* formation energy from the elements: -0.61 eV per atom

Geometry as extended XYZ:
```
11
Lattice="-2.276 2.276 11.595 2.276 -2.276 11.595 2.276 2.276 -11.595" Properties=species:S:1:pos:R:3 pbc="T T T"
Li 0.000 0.000 1.248
Li 0.000 0.000 21.941
Sm 0.000 0.000 7.150
Sm 0.000 0.000 11.595
Sm 0.000 0.000 16.040
Au 2.276 0.000 2.232
Au 0.000 0.000 4.202
Au 2.276 0.000 9.363
Au 0.000 2.276 2.232
Au 0.000 0.000 18.987
Au 0.000 2.276 9.363
```

=====

6.
## La2H2Ru (PBE-GGA)

Data for La2H2Ru after structural relaxation.

Results
* excess energy over the best structure of this formula in the dataset: 195 meV per atom

Geometry as extended XYZ:
```
10
Lattice="6.979 0.000 0.000 0.000 6.979 0.000 0.000 0.000 3.361" Properties=species:S:1:pos:R:3 pbc="T T T"
La 1.299 2.191 0.000
La 2.191 5.680 0.000
La 4.788 1.299 0.000
La 5.680 4.788 0.000
H 0.819 4.309 1.681
H 2.670 0.819 1.681
H 4.309 6.160 1.681
H 6.160 2.670 1.681
Ru 0.000 0.000 1.681
Ru 3.489 3.489 1.681
```

=====

7.
## TbSbPd (PBE-GGA)

Data for TbSbPd after structural relaxation.

Results
* uncorrected formation energy: -1030 meV per atom

Geometry as extended XYZ:
```
12
Lattice="4.531 0.000 0.000 -2.265 3.924 0.000 0.000 0.000 15.633" Properties=species:S:1:pos:R:3 pbc="T T T"
Tb 0.000 0.000 0.000
Tb 0.000 0.000 3.908
Tb 0.000 0.000 7.817
Tb 0.000 0.000 11.725
Sb 0.000 2.616 1.796
Sb 0.000 2.616 6.021
Sb 2.265 1.308 9.613
Sb 2.265 1.308 13.837
Pd 0.000 2.616 10.099
Pd 0.000 2.616 13.351
Pd 2.265 1.308 2.282
Pd 2.265 1.308 5.535
```

=====

8.
## Li2YSbTe4 (PBE-GGA)

Data for Li2YSbTe4 after structural relaxation.

Results
* uncorrected formation energy: -867 meV per atom

Geometry as extended XYZ:
```
8
Lattice="7.460 0.000 0.000 0.000 4.348 0.000 -2.546 0.000 7.128" Properties=species:S:1:pos:R:3 pbc="T T T"
Li 0.000 0.000 0.000
Li -1.273 2.174 3.564
Y 2.457 0.000 3.564
Sb 3.730 2.174 0.000
Te -0.091 0.000 5.339
Te 1.201 2.174 1.757
Te 3.713 2.174 5.371
Te 5.005 0.000 1.789
```

=====

9.
## CaGa4CuAu2 (PBE-GGA)

Data for CaGa4CuAu2 after structural relaxation.

Results
* formation energy from the elements: -0.28 eV per atom

Geometry as extended XYZ:
```
8
Lattice="2.232 1.289 8.882 -2.232 1.289 8.882 0.000 -2.577 8.882" Properties=species:S:1:pos:R:3 pbc="T T T"
Ca 0.000 0.000 0.000
Ga 0.000 0.000 3.620
Ga 0.000 0.000 10.716
Ga 0.000 0.000 15.930
Ga 0.000 0.000 23.027
Cu 0.000 0.000 13.323
Au 0.000 0.000 6.706
Au 0.000 0.000 19.940
```

=====

10.
## Cs2GaPdI6 (PBE-GGA)

Data for Cs2GaPdI6 after structural relaxation.

Results
* uncorrected formation energy: -784 meV per atom

Geometry as extended XYZ:
```
10
Lattice="-4.123 4.123 5.813 4.123 -4.123 5.813 4.123 4.123 -5.813" Properties=species:S:1:pos:R:3 pbc="T T T"
Cs 4.123 0.000 2.907
Cs 0.000 4.123 2.907
Ga 0.000 0.000 0.000
Pd 0.000 0.000 5.813
I 0.000 0.000 2.916
I 2.146 2.146 0.000
I 1.977 -1.977 5.813
I -1.977 1.977 5.813
I 1.977 1.977 5.813
I 0.000 0.000 8.710
```

=====

11.
## PmAsOs (PBE-GGA)

Data for PmAsOs after structural relaxation.

Results
* formation energy from the elements: -0.36 eV per atom

Geometry as extended XYZ:
```
6
Lattice="3.210 -3.197 0.000 3.210 3.197 0.000 -0.008 0.000 6.177" Properties=species:S:1:pos:R:3 pbc="T T T"
Pm 1.605 0.000 0.928
Pm 4.807 0.000 5.249
As 3.206 1.600 3.089
As 3.206 -1.600 3.089
Os 1.603 0.000 4.205
Os 4.810 0.000 1.972
```

=====

12.
## Cd6PbAu3 (PBE-GGA)

Data for Cd6PbAu3 after structural relaxation.

Results
* formation energy from the elements: -0.11 eV per atom

Geometry as extended XYZ:
```
20
Lattice="8.842 0.000 0.000 0.000 4.742 0.000 -1.955 0.000 10.747" Properties=species:S:1:pos:R:3 pbc="T T T"
Cd 0.048 1.186 0.926
Cd -0.213 1.186 5.813
Cd -0.038 3.557 7.662
Cd 1.182 3.557 2.437
Cd 1.291 3.557 10.429
Cd 2.729 1.186 4.350
Cd 4.158 3.557 6.397
Cd 5.597 1.186 0.318
Cd 5.705 1.186 8.310
Cd 6.925 1.186 3.084
Cd 7.101 3.557 4.934
Cd 6.839 3.557 9.821
Pb 2.449 1.186 7.942
Pb 4.439 3.557 2.805
Au -0.351 1.186 9.245
Au 1.410 3.557 5.252
Au 2.877 1.186 1.384
Au 4.010 3.557 9.362
Au 5.477 1.186 5.495
Au 7.238 3.557 1.501
```

=====

13.
## ErZr2Pa (PBE-GGA)

Data for ErZr2Pa after structural relaxation.

Results
* excess energy over the best structure of this formula in the dataset: 209 meV per atom
* formation energy from the elements: 0.30 eV per atom

Geometry as extended XYZ:
```
4
Lattice="1.619 0.935 11.527 -1.619 0.935 11.527 0.000 -1.869 11.527" Properties=species:S:1:pos:R:3 pbc="T T T"
Er 0.000 0.000 0.000
Zr 0.000 0.000 3.107
Zr 0.000 0.000 31.474
Pa 0.000 0.000 17.290
```

=====

14.
## AgTeAu (PBE-GGA)

Data for AgTeAu after structural relaxation.

Results
* uncorrected formation energy: 115 meV per atom

Geometry as extended XYZ:
```
3
Lattice="-1.946 1.946 4.324 1.946 -1.946 4.324 1.946 1.946 -4.324" Properties=species:S:1:pos:R:3 pbc="T T T"
Ag 0.000 0.000 0.000
Te 0.000 0.000 5.743
Au 0.000 0.000 2.881
```

=====

15.
## Ac2NdHg (PBE-GGA)

Data for Ac2NdHg after structural relaxation.

Results
* excess energy over the best structure of this formula in the dataset: 307 meV per atom
* formation energy from the elements: 0.08 eV per atom

Geometry as extended XYZ:
```
4
Lattice="1.898 1.096 12.483 -1.898 1.096 12.483 0.000 -2.192 12.483" Properties=species:S:1:pos:R:3 pbc="T T T"
Ac 0.000 0.000 3.622
Ac 0.000 0.000 33.828
Nd 0.000 0.000 0.000
Hg 0.000 0.000 18.725
```

=====

16.
## TcAg2Ir (PBE-GGA)

Data for TcAg2Ir after structural relaxation.

Results
* excess energy over the best structure of this formula in the dataset: 676 meV per atom
* formation energy from the elements: 0.84 eV per atom

Geometry as extended XYZ:
```
4
Lattice="0.000 3.171 3.171 3.171 0.000 3.171 3.171 3.171 0.000" Properties=species:S:1:pos:R:3 pbc="T T T"
Tc 0.000 0.000 0.000
Ag 1.585 1.585 1.585
Ag 4.756 4.756 4.756
Ir 3.171 3.171 3.171
```

=====

17.
## NbAgAu2Se (PBE-GGA)

Data for NbAgAu2Se after structural relaxation.

Results
* uncorrected formation energy: 1177 meV per atom

Geometry as extended XYZ:
```
5
Lattice="4.981 0.000 0.000 0.000 4.981 0.000 0.000 0.000 5.185" Properties=species:S:1:pos:R:3 pbc="T T T"
Nb 0.000 0.000 0.000
Ag 0.000 0.000 2.592
Au 0.000 2.490 2.592
Au 2.490 0.000 2.592
Se 2.490 2.490 0.000
```

=====

18.
## LiNbTe2O8 (PBE-GGA)

Data for LiNbTe2O8 after structural relaxation.

Results
* uncorrected formation energy: -1493 meV per atom

Geometry as extended XYZ:
```
12
Lattice="3.349 -3.448 0.000 3.349 3.448 0.000 0.000 0.000 6.499" Properties=species:S:1:pos:R:3 pbc="T T T"
Li 0.000 0.000 0.000
Nb 0.000 0.000 3.249
Te 3.349 0.000 1.572
Te 3.349 0.000 4.927
O 1.322 0.000 1.749
O 1.322 0.000 4.749
O 3.349 1.356 3.249
O 3.349 1.279 0.000
O 3.349 -1.279 0.000
O 3.349 -1.356 3.249
O 5.376 0.000 1.749
O 5.376 0.000 4.749
```

=====

19.
## TaTl2Ru (PBE-GGA)

Data for TaTl2Ru after structural relaxation.

Results
* excess energy over the best structure of this formula in the dataset: 532 meV per atom
* formation energy from the elements: 0.73 eV per atom

Geometry as extended XYZ:
```
4
Lattice="0.000 3.413 3.413 3.413 0.000 3.413 3.413 3.413 0.000" Properties=species:S:1:pos:R:3 pbc="T T T"
Ta 0.000 0.000 0.000
Tl 3.413 3.413 3.413
Tl 5.119 5.119 5.119
Ru 1.706 1.706 1.706
```

=====

20.
## RhN2Cl2 (PBE-GGA)

Data for RhN2Cl2 after structural relaxation.

Results
* uncorrected formation energy: -62 meV per atom

Geometry as extended XYZ:
```
10
Lattice="6.188 0.000 0.000 -1.587 6.755 0.000 -1.301 -2.540 6.394" Properties=species:S:1:pos:R:3 pbc="T T T"
Rh 0.065 2.296 2.358
Rh 3.236 1.919 4.036
N 0.443 2.249 0.184
N 0.996 1.316 0.538
N 2.304 2.899 5.856
N 2.857 1.966 6.210
Cl -0.968 3.192 4.249
Cl 1.371 0.557 3.723
Cl 1.929 3.658 2.671
Cl 4.268 1.024 2.145
```

=====

21.
## TaGeAu3 (PBE-GGA)

Data for TaGeAu3 after structural relaxation.

Results
* excess energy over the best structure of this formula in the dataset: 59 meV per atom
* formation energy from the elements: 1.04 eV per atom

Geometry as extended XYZ:
```
5
Lattice="5.116 0.000 0.000 0.000 5.116 0.000 0.000 0.000 5.116" Properties=species:S:1:pos:R:3 pbc="T T T"
Ta 0.000 0.000 0.000
Ge 2.558 2.558 2.558
Au 0.000 0.000 2.558
Au 0.000 2.558 0.000
Au 2.558 0.000 0.000
```

=====

22.
## ScBeSe2Br (PBE-GGA)

Data for ScBeSe2Br after structural relaxation.

Results
* excess energy over the best structure of this formula in the dataset: 334 meV per atom
* uncorrected formation energy: -87 meV per atom

Geometry as extended XYZ:
```
5
Lattice="5.201 0.000 0.000 0.000 5.201 0.000 0.000 0.000 5.147" Properties=species:S:1:pos:R:3 pbc="T T T"
Sc 0.000 0.000 0.000
Be 2.601 2.601 2.574
Se 0.000 2.601 0.000
Se 2.601 0.000 0.000
Br 0.000 0.000 2.574
```

=====

23.
## SmY8Ho6 (PBE-GGA)

Data for SmY8Ho6 after structural relaxation.

Results
* excess energy over the best structure of this formula in the dataset: 55 meV per atom
* formation energy from the elements: 0.24 eV per atom

Geometry as extended XYZ:
```
15
Lattice="9.399 0.000 0.000 -4.700 8.140 0.000 0.000 0.000 6.559" Properties=species:S:1:pos:R:3 pbc="T T T"
Sm 0.000 0.000 0.000
Y -1.334 2.748 2.621
Y -1.652 7.921 2.621
Y 0.000 5.427 4.435
Y 1.713 2.529 3.938
Y 2.986 5.610 2.621
Y 4.700 2.713 2.124
Y 6.352 0.219 3.938
Y 6.034 5.392 3.938
Ho -2.347 5.522 0.610
Ho 1.091 3.347 0.610
Ho 3.444 0.729 5.949
Ho 1.256 7.411 0.610
Ho 3.609 4.793 5.949
Ho 7.046 2.618 5.949
```